! SrAgIr2 | the Alexandria database | PBE | optimized geometry; values from VASP
&SYSTEM
  ibrav = 0, nat = 8, ntyp = 3
/
ATOMIC_SPECIES
Ir 192.22 Ir.upf
Sr 87.62 Sr.upf
Ag 107.87 Ag.upf
CELL_PARAMETERS angstrom
-0.404 3.761 2.482
-1.356 -2.478 3.535
8.309 -0.273 5.891
ATOMIC_POSITIONS crystal
Ir 0.781 0.125 0.250
Ir 0.969 0.625 0.250
Ir 0.875 0.031 0.750
Ir 0.375 0.219 0.750
Sr 0.250 0.750 0.500
Sr 0.500 0.500 0.000
Ag 0.000 0.000 0.000
Ag 0.750 0.250 0.500
! Calculated volume in Å³ per atom: 24.8
! Symmetry: I-42d (122)
! Relative energy among the computed polymorphs in meV/atom: 125.7
! Total moment in μB per formula unit: 0.000
! Energy of formation from the pure elements in meV per atom: 316
! Raw total energy in Ha/atom: -0.1929
! Density in g/cm3: 9.7